Density functional theory data (GGA-PBE) for a relaxed structure of CuAgAu2.

a = 4.9667 Å, b = 4.9667 Å, c = 4.8867 Å
α = 78.07°, β = 78.07°, γ = 34.60°
Fractional positions:
Au  0.9993  0.9993  0.9961
Au  0.2409  0.2409  0.2637
Cu  0.5022  0.5022  0.4952
Ag  0.7577  0.7577  0.7450

SG: Cm, No. 8
Uncorrected energy in eV per atom: -3.375
Magnetization in μB/cell: 0.00
Fermi-level density of states in states/eV/atom: 0.1977